[1]
This record from the Alexandria database describes a relaxed Rh3S4 crystal. The functional is PBEsol.

Values from the calculation:
Formation energy from raw total energies ... -4.109 eV per formula unit
Total moment ... 0.00 μB/cell
Volume ... 651.2 Å³/cell

Cell lengths 10.2939, 10.7010, 6.2125 Å; angles 90.00, 107.91, 90.00 degrees
With the nearest neighbours (Å) after each atom.
Space group C2/m (No. 12)
Symmetry-distinct sites (fractional):
1 Rh 0.0000 0.0000 0.0000  6 S 2.34-2.37
2 Rh 0.0000 0.1611 0.5000  6 S 2.29-2.35
3 Rh 0.1379 0.3541 0.0490  4 S 2.24-2.35
4 Rh 0.1498 0.5000 0.4470  5 S 2.26-2.38
5 S 0.0846 0.5000 0.7724  4 Rh 2.26-2.38
6 S 0.1177 0.0000 0.3880  4 Rh 2.30-2.34
7 S 0.1255 0.1584 0.8858  4 Rh 2.31-2.37
8 S 0.1491 0.2906 0.3986  3 Rh 2.24-2.29, 1 S 2.25

---

[2]
This record from the Alexandria database describes a relaxed Rh17S15 crystal. The functional is PBEsol.

Values from the calculation:
Formation energy from raw total energies ... -16.516 eV per formula unit
Total moment ... 0.00 μB/cell
Volume ... 950.6 Å³/cell

Cell lengths 9.8325, 9.8325, 9.8325 Å; angles 90.00, 90.00, 90.00 degrees
With the nearest neighbours (Å) after each atom.
Space group Pm-3m (No. 221)
Symmetry-distinct sites (fractional):
1 Rh 0.0000 0.0000 0.0000  6 S 2.32
2 Rh 0.0000 0.5000 0.5000  4 S 2.35, 2 Rh 2.58
3 Rh 0.1422 0.1422 0.3577  4 S 2.27-2.34
4 Rh 0.2626 0.5000 0.5000  4 S 2.26
5 S 0.0000 0.0000 0.2363  5 Rh 2.31-2.32
6 S 0.0000 0.3310 0.3310  5 Rh 2.34-2.35
7 S 0.2708 0.2708 0.5000  4 Rh 2.26-2.27

---

[3]
This record from the Alexandria database describes a relaxed RhS2 crystal. The functional is PBEsol.

Values from the calculation:
Formation energy from raw total energies ... -1.507 eV per formula unit
Total moment ... 0.00 μB/cell
Volume ... 181.0 Å³/cell

Cell lengths 5.6567, 5.6567, 5.6567 Å; angles 90.00, 90.00, 90.00 degrees
With the nearest neighbours (Å) after each atom.
Space group Pa-3 (No. 205)
Symmetry-distinct sites (fractional):
1 Rh 0.0000 0.0000 0.0000  6 S 2.37
2 S 0.1141 0.6141 0.8859  1 S 2.24, 3 Rh 2.37

---

[4]
This record from the Alexandria database describes a relaxed Sb2TeRhS crystal. The functional is PBEsol.

Values from the calculation:
Formation energy from raw total energies ... 0.503 eV per formula unit
Total moment ... 0.00 μB/cell
Offset from the most stable computed form ... 0.0 kJ/mol of atoms
Volume ... 121.3 Å³/cell

Cell lengths 5.3244, 5.3244, 4.2787 Å; angles 90.00, 90.00, 90.00 degrees
With the nearest neighbours (Å) after each atom.
Space group P4/mmm (No. 123)
Symmetry-distinct sites (fractional):
1 Sb 0.0000 0.5000 0.0000  2 Rh 2.66
2 Te 0.0000 0.0000 0.5000  8 Sb 3.42, 4 S 3.76
3 Rh 0.5000 0.5000 0.0000  2 S 2.14
4 S 0.5000 0.5000 0.5000  2 Rh 2.14

---

[5]
This record from the Alexandria database describes a relaxed Sb2TeRhS crystal. The functional is PBEsol.

Values from the calculation:
Formation energy from raw total energies ... 2.411 eV per formula unit
Total moment ... 0.00 μB/cell
Offset from the most stable computed form ... 36.8 kJ/mol of atoms
Volume ... 129.9 Å³/cell

Cell lengths 5.0116, 5.0116, 5.1713 Å; angles 90.00, 90.00, 90.00 degrees
With the nearest neighbours (Å) after each atom.
Space group P4/mmm (No. 123)
Symmetry-distinct sites (fractional):
1 Sb 0.0000 0.5000 0.0000  2 Rh 2.51
2 Te 0.0000 0.0000 0.5000  2 Rh 2.59
3 Rh 0.0000 0.0000 0.0000  4 Sb 2.51, 2 Te 2.59
4 S 0.5000 0.5000 0.5000  4 Te 3.54, 8 Sb 3.60

---

[6]
This record from the Alexandria database describes a relaxed Sc2TlRhS crystal. The functional is PBEsol.

Values from the calculation:
Formation energy from raw total energies ... -3.503 eV per formula unit
Total moment ... 0.00 μB/cell
Volume ... 99.2 Å³/cell

Cell lengths 4.7449, 4.7449, 4.4041 Å; angles 90.00, 90.00, 90.00 degrees
With the nearest neighbours (Å) after each atom.
Space group P4/mmm (No. 123)
Symmetry-distinct sites (fractional):
1 Sc 0.0000 0.5000 0.0000  2 S 2.37
2 Tl 0.0000 0.0000 0.5000  8 Sc 3.24, 4 Rh 3.36
3 Rh 0.5000 0.5000 0.5000  2 S 2.20
4 S 0.5000 0.5000 0.0000  2 Rh 2.20, 4 Sc 2.37

---

[7]
This record from the Alexandria database describes a relaxed RhSeS2 crystal. The functional is PBEsol.

Values from the calculation:
Formation energy from raw total energies ... -0.991 eV per formula unit
Total moment ... 0.00 μB/cell
Volume ... 228.4 Å³/cell

Cell lengths 3.4854, 3.4854, 21.7126 Å; angles 90.00, 90.00, 120.00 degrees
With the nearest neighbours (Å) after each atom.
Space group R-3m (No. 166, hexagonal axes)
Symmetry-distinct sites (fractional):
1 Rh 0.0000 0.0000 0.0000  6 S 2.34
2 Se 0.0000 0.0000 0.5000  2 S 2.42
3 S 0.0000 0.0000 0.3884  3 Rh 2.34, 1 Se 2.42

---

[8]
This record from the Alexandria database describes a relaxed SrRhS3 crystal. The functional is PBEsol.

Values from the calculation:
Formation energy from raw total energies ... 5.658 eV per formula unit
Total moment ... 4.91 μB/cell
Volume ... 152.4 Å³/cell

Cell lengths 5.3411, 5.3411, 5.3411 Å; angles 90.00, 90.00, 90.00 degrees
With the nearest neighbours (Å) after each atom.
Space group Pm-3m (No. 221)
Symmetry-distinct sites (fractional):
1 Sr 0.0000 0.0000 0.0000  6 S 2.67
2 Rh 0.5000 0.5000 0.5000  12 S 3.78
3 S 0.0000 0.0000 0.5000  2 Sr 2.67

---

[9]
This record from the Alexandria database describes a relaxed Ta3RhS crystal. The functional is PBEsol.

Values from the calculation:
Formation energy from raw total energies ... 6.554 eV per formula unit
Total moment ... 0.00 μB/cell
Volume ... 107.0 Å³/cell

Cell lengths 4.7480, 4.7480, 4.7480 Å; angles 90.00, 90.00, 90.00 degrees
With the nearest neighbours (Å) after each atom.
Space group Pm-3m (No. 221)
Symmetry-distinct sites (fractional):
1 Ta 0.0000 0.0000 0.5000  2 Rh 2.37
2 Rh 0.0000 0.0000 0.0000  6 Ta 2.37
3 S 0.5000 0.5000 0.5000  12 Ta 3.36

---

[10]
This record from the Alexandria database describes a relaxed TcRh3S crystal. The functional is PBEsol.

Values from the calculation:
Formation energy from raw total energies ... 3.239 eV per formula unit
Total moment ... 4.53 μB/cell
Volume ... 79.4 Å³/cell

Cell lengths 4.2974, 4.2974, 4.2974 Å; angles 90.00, 90.00, 90.00 degrees
With the nearest neighbours (Å) after each atom.
Space group Pm-3m (No. 221)
Symmetry-distinct sites (fractional):
1 Tc 0.0000 0.0000 0.0000  12 Rh 3.04
2 Rh 0.0000 0.5000 0.5000  2 S 2.15
3 S 0.5000 0.5000 0.5000  6 Rh 2.15

---

[11]
This record from the Alexandria database describes a relaxed TeRhS2 crystal. The functional is PBEsol.

Values from the calculation:
Formation energy from raw total energies ... -1.307 eV per formula unit
Total moment ... 0.00 μB/cell
Volume ... 246.6 Å³/cell

Cell lengths 3.5344, 3.5344, 22.7933 Å; angles 90.00, 90.00, 120.00 degrees
With the nearest neighbours (Å) after each atom.
Space group R-3m (No. 166, hexagonal axes)
Symmetry-distinct sites (fractional):
1 Te 0.0000 0.0000 0.0000  2 S 2.64
2 Rh 0.0000 0.0000 0.5000  6 S 2.35
3 S 0.0000 0.0000 0.1157  3 Rh 2.35

---

[12]
This record from the Alexandria database describes a relaxed Te3RhS crystal. The functional is PBEsol.

Values from the calculation:
Formation energy from raw total energies ... 2.883 eV per formula unit
Total moment ... 0.00 μB/cell
Volume ... 131.8 Å³/cell

Cell lengths 5.0886, 5.0886, 5.0886 Å; angles 90.00, 90.00, 90.00 degrees
With the nearest neighbours (Å) after each atom.
Space group Pm-3m (No. 221)
Symmetry-distinct sites (fractional):
1 Te 0.0000 0.0000 0.5000  2 Rh 2.54
2 Rh 0.0000 0.0000 0.0000  6 Te 2.54
3 S 0.5000 0.5000 0.5000  12 Te 3.60